# 1
Nd2Sm5Y6 PBE relaxed; space-group type = Pbam, No. 55; Fermi-level density of states = 34.2 states/eV per cell
1.0
11.814 0.000 0.000
0.000 20.604 0.000
0.000 0.000 3.613
Nd Sm Y
4 10 12
Direct
0.169 0.214 0.000
0.331 0.714 0.000
0.669 0.286 0.000
0.831 0.786 0.000
0.000 0.500 0.500
0.088 0.776 0.500
0.201 0.049 0.500
0.299 0.549 0.500
0.412 0.276 0.500
0.500 0.000 0.500
0.588 0.724 0.500
0.701 0.451 0.500
0.799 0.951 0.500
0.912 0.224 0.500
0.058 0.921 0.000
0.080 0.632 0.000
0.178 0.369 0.500
0.322 0.869 0.500
0.420 0.132 0.000
0.442 0.421 0.000
0.558 0.579 0.000
0.580 0.868 0.000
0.678 0.131 0.500
0.822 0.631 0.500
0.920 0.368 0.000
0.942 0.079 0.000

***

# 2
Nd2Sm9Y PBE relaxed; space-group type = P4/mmm, No. 123; Fermi-level density of states = 19.7 states/eV per cell
1.0
5.137 0.000 0.000
0.000 5.137 0.000
0.000 0.000 15.402
Nd Sm Y
2 9 1
Direct
0.000 0.000 0.168
0.000 0.000 0.832
0.000 0.500 0.000
0.000 0.500 0.334
0.000 0.500 0.666
0.500 0.000 0.000
0.500 0.000 0.334
0.500 0.000 0.666
0.500 0.500 0.167
0.500 0.500 0.500
0.500 0.500 0.833
0.000 0.000 0.500

***

# 3
Nd5SmY12 PBE relaxed; space-group type = P2/m, No. 10; Fermi-level density of states = 28.0 states/eV per cell
1.0
10.803 0.000 0.000
0.000 5.104 0.000
-0.026 0.000 10.820
Nd Sm Y
5 1 12
Direct
0.000 0.000 0.000
0.167 0.500 0.833
0.334 0.000 0.666
0.666 0.000 0.334
0.833 0.500 0.167
0.500 0.500 0.500
0.001 0.000 0.334
0.166 0.500 0.499
0.168 0.500 0.168
0.333 0.000 0.333
0.334 0.000 0.001
0.499 0.500 0.166
0.501 0.500 0.834
0.666 0.000 0.999
0.667 0.000 0.667
0.832 0.500 0.832
0.834 0.500 0.501
0.999 0.000 0.666

***

# 4
Nd2Sm5Y2 PBE relaxed; space-group type = Ima2, No. 46; energy above the lowest structure with this stoichiometry = 0.056 eV per atom; Fermi-level density of states = 28.3 states/eV per cell
1.0
-7.515 6.002 3.413
7.515 -6.002 3.413
7.515 6.002 -3.413
Nd Sm Y
4 10 4
Direct
0.000 0.000 0.000
0.000 0.500 0.500
0.064 0.818 0.746
0.072 0.318 0.254
0.097 0.008 0.375
0.097 0.221 0.589
0.138 0.626 0.011
0.431 0.130 0.197
0.431 0.734 0.801
0.615 0.126 0.989
0.633 0.508 0.411
0.633 0.721 0.625
0.932 0.234 0.803
0.932 0.630 0.199
0.528 0.156 0.623
0.528 0.404 0.871
0.533 0.656 0.129
0.533 0.904 0.377

***

# 5
NdSm6Y2 PBE relaxed; space-group type = P-3m1, No. 164; energy above the lowest structure with this stoichiometry = 0.024 eV per atom; Fermi-level density of states = 14.2 states/eV per cell
1.0
7.527 0.000 0.000
-3.764 6.519 0.000
0.000 0.000 6.220
Nd Sm Y
1 6 2
Direct
0.000 0.000 0.000
0.188 0.375 0.294
0.188 0.812 0.294
0.375 0.188 0.706
0.625 0.812 0.294
0.812 0.188 0.706
0.812 0.625 0.706
0.333 0.667 0.788
0.667 0.333 0.212

***

# 6
NdSm5Y5 PBE relaxed; space-group type = P-6m2, No. 187; energy above the lowest structure with this stoichiometry = 0.057 eV per atom; Fermi-level density of states = 23.2 states/eV per cell
1.0
6.134 0.000 0.000
-3.067 5.312 0.000
0.000 0.000 11.860
Nd Sm Y
1 5 5
Direct
0.000 0.000 0.000
0.000 0.000 0.319
0.000 0.000 0.681
0.333 0.667 0.154
0.333 0.667 0.846
0.667 0.333 0.000
0.000 0.500 0.500
0.500 0.000 0.500
0.500 0.500 0.500
0.667 0.333 0.263
0.667 0.333 0.737

***

# 7
Nd7Sm2Y3 PBE relaxed; space-group type = P-1, No. 2; energy above the lowest structure with this stoichiometry = 0.013 eV per atom; Fermi-level density of states = 18.1 states/eV per cell
1.0
3.658 0.000 0.000
0.000 5.806 0.000
1.810 1.345 19.647
Nd Sm Y
7 2 3
Direct
0.000 0.000 0.000
0.069 0.667 0.859
0.272 0.260 0.457
0.412 0.827 0.180
0.588 0.173 0.820
0.728 0.740 0.543
0.931 0.333 0.141
0.357 0.292 0.290
0.643 0.708 0.710
0.177 0.220 0.641
0.500 0.500 0.000
0.823 0.780 0.359

***

# 8
NdSmY4 PBE relaxed; space-group type = P2/m, No. 10; energy above the lowest structure with this stoichiometry = 0.190 eV per atom; Fermi-level density of states = 13.8 states/eV per cell
1.0
3.442 0.000 0.000
0.000 9.934 0.000
-0.014 0.000 5.947
Nd Sm Y
1 1 4
Direct
0.000 0.000 0.000
0.500 0.500 0.500
0.000 0.187 0.500
0.000 0.813 0.500
0.500 0.315 0.000
0.500 0.685 0.000

***

# 9
Nd3Sm4Y8 PBE relaxed; space-group type = C2/m, No. 12; Fermi-level density of states = 31.7 states/eV per cell
1.0
6.785 -6.463 0.000
6.785 6.463 0.000
-3.417 0.000 5.893
Nd Sm Y
3 4 8
Direct
0.000 0.000 0.000
0.000 0.500 0.500
0.500 0.000 0.500
0.000 0.500 0.000
0.500 0.000 0.000
0.500 0.500 0.000
0.500 0.500 0.500
0.142 0.858 0.500
0.233 0.233 0.496
0.235 0.235 0.978
0.246 0.754 0.000
0.754 0.246 0.000
0.765 0.765 0.022
0.767 0.767 0.504
0.858 0.142 0.500

***

# 10
NdSm3Y8 PBE relaxed; space-group type = P1, No. 1; Fermi-level density of states = 23.4 states/eV per cell
1.0
6.361 0.000 0.000
3.168 7.926 0.000
3.178 -0.345 7.925
Nd Sm Y
1 3 8
Direct
0.000 0.000 0.000
0.000 0.500 0.500
0.330 0.249 0.749
0.330 0.748 0.250
0.332 0.166 0.167
0.333 0.665 0.666
0.664 0.416 0.916
0.664 0.915 0.417
0.665 0.334 0.334
0.666 0.833 0.833
0.997 0.084 0.582
0.997 0.582 0.084

***

# 11
Nd12Sm7Y PBE relaxed; space-group type = R-3, No. 148; energy above the lowest structure with this stoichiometry = 0.000 eV per atom; Fermi-level density of states = 40.7 states/eV per cell
1.0
6.175 3.565 5.349
-6.175 3.565 5.349
0.000 -7.130 5.349
Nd Sm Y
12 7 1
Direct
0.009 0.363 0.885
0.115 0.991 0.637
0.224 0.756 0.354
0.244 0.646 0.776
0.354 0.224 0.756
0.363 0.885 0.009
0.637 0.115 0.991
0.646 0.776 0.244
0.756 0.354 0.224
0.776 0.244 0.646
0.885 0.009 0.363
0.991 0.637 0.115
0.000 0.000 0.000
0.108 0.351 0.428
0.351 0.428 0.108
0.428 0.108 0.351
0.572 0.892 0.649
0.649 0.572 0.892
0.892 0.649 0.572
0.500 0.500 0.500

***

# 12
Nd7SmY2 PBE relaxed; space-group type = Cmmm, No. 65; energy above the lowest structure with this stoichiometry = 0.632 eV per atom; Fermi-level density of states = 16.1 states/eV per cell
1.0
4.342 -8.668 0.000
4.342 8.668 0.000
0.000 0.000 5.571
Nd Sm Y
7 1 2
Direct
0.000 0.000 0.000
0.211 0.430 0.000
0.294 0.706 0.500
0.430 0.211 0.000
0.570 0.789 0.000
0.706 0.294 0.500
0.789 0.570 0.000
0.500 0.500 0.500
0.208 0.792 0.000
0.792 0.208 0.000

***

Values for energy of formation from the pure elements, eV/atom, ordered as above
0.095; 0.017; 0.020; 0.198; 0.208; 0.321; 0.095; 0.194; 0.368; 0.012; 0.221; 0.645
Values for size of the total moment, Bohr magnetons per cell, ordered as above
0.00; 0.00; 0.00; 0.00; 0.92; 0.00; 0.00; 0.00; 0.00; 0.00; 0.00; 0.00